[1]
Computed, not measured: a relaxed Eu2HfVO6 crystal at the PBE with a Hubbard U level of DFT.

Cell: 5.6792 5.6792 5.6792 Å, 60.00 60.00 60.00°
With the nearest neighbours (Å) after each atom.
Positions (direct):
Eu  0.2500  0.2500  0.2500  12 O 2.84
Hf  0.0000  0.0000  0.0000  6 O 2.05
O  0.2554  0.7446  0.2554  1 V 1.96, 1 Hf 2.05
O  0.7446  0.7446  0.2554  1 V 1.96, 1 Hf 2.05
O  0.2554  0.7446  0.7446  1 V 1.96, 1 Hf 2.05
O  0.7446  0.2554  0.2554  1 V 1.96, 1 Hf 2.05
Eu  0.7500  0.7500  0.7500  12 O 2.84
V  0.5000  0.5000  0.5000  6 O 1.96
O  0.7446  0.2554  0.7446  1 V 1.96, 1 Hf 2.05
O  0.2554  0.2554  0.7446  1 V 1.96, 1 Hf 2.05

**Magnetic moment**: 15.0 μB/f.u.
**Electronic total energy**: -96.55 eV per cell



[2]
Computed, not measured: a relaxed Eu2HfWO6 crystal at the PBE with a Hubbard U level of DFT.

Cell: 5.8206 5.8206 5.8206 Å, 60.00 60.00 60.00°
With the nearest neighbours (Å) after each atom.
Positions (direct):
Eu  0.2500  0.2500  0.2500  12 O 2.91
Eu  0.7500  0.7500  0.7500  12 O 2.91
O  0.2495  0.7505  0.2495  1 Hf 2.05, 1 W 2.06
O  0.7505  0.2495  0.7505  1 Hf 2.05, 1 W 2.06
W  0.5000  0.5000  0.5000  6 O 2.06
Hf  0.0000  0.0000  0.0000  6 O 2.05
O  0.2495  0.2495  0.7505  1 Hf 2.05, 1 W 2.06
O  0.7505  0.7505  0.2495  1 Hf 2.05, 1 W 2.06
O  0.2495  0.7505  0.7505  1 Hf 2.05, 1 W 2.06
O  0.7505  0.2495  0.2495  1 Hf 2.05, 1 W 2.06

**Magnetic moment**: 16.0 μB/f.u.
**Electronic total energy**: -95.35 eV per cell



Question: Which formula does entry 1 have?
Answer: Eu2HfVO6



Question: Which value of electronic total energy does entry 1 give?
Answer: -96.55 eV per cell